Record 1
First-principles (GGA-PBEsol) data for a geometry-optimized SnTeN2F structure, as listed in Alexandria via LeMat-Bulk.

Summary:
SG	P4/mmm
calculated total energy	-19.15	eV for the cell shown
energy relative to the elements, uncorrected	1522	meV/atom

Geometry as POSCAR:
```
SnTeN2F
1.0
4.1450 0.0000 0.0000
0.0000 4.6138 0.0000
0.0000 0.0000 4.6138
N Te Sn F
2 1 1 1
direct
0.0000 0.0000 0.5000
0.0000 0.5000 0.0000
0.5000 0.0000 0.0000
0.5000 0.5000 0.5000
0.0000 0.0000 0.0000
```

***

Record 2
First-principles (GGA-PBEsol) data for a geometry-optimized PPtO2F structure, as listed in Alexandria via LeMat-Bulk.

Summary:
SG	P4/mmm
calculated total energy	-24.73	eV for the cell shown
energy relative to the elements, uncorrected	90	meV/atom

Geometry as POSCAR:
```
PPtO2F
1.0
-3.3785 0.5626 1.4281
0.6655 -2.5743 2.5885
1.8935 3.5767 3.0703
P O Pt F
1 2 1 1
direct
0.0000 0.0000 0.5000
0.0000 0.5000 0.0000
0.5000 0.0000 0.0000
0.0000 0.0000 0.0000
0.5000 0.5000 0.5000
```

***

Record 3
First-principles (GGA-PBEsol) data for a geometry-optimized SiHg2Pb structure, as listed in Alexandria via LeMat-Bulk.

Summary:
SG	F-43m
calculated total energy	-9.65	eV for the cell shown
energy relative to the elements, uncorrected	307	meV/atom

Geometry as POSCAR:
```
SiHg2Pb
1.0
-3.2202 3.2381 -2.2090
-4.5184 0.9222 2.1137
-0.9288 4.5068 2.1356
Hg Pb Si
2 1 1
direct
0.0000 0.0000 0.0000
0.7500 0.7500 0.7500
0.5000 0.5000 0.5000
0.2500 0.2500 0.2500
```

***

Record 4
First-principles (GGA-PBEsol) data for a geometry-optimized Li2In2Sn structure, as listed in Alexandria via LeMat-Bulk.

Summary:
ΔH_f (0 K)	-0.210	eV per atom
SG	P4/mbm
calculated total energy	-30.42	eV for the cell shown

Geometry as POSCAR:
```
Li2In2Sn
1.0
-1.1126 -2.1803 -2.0931
5.2219 -5.4318 2.8825
-5.4815 -2.3980 5.4115
Li Sn In
4 2 4
direct
0.5000 0.1709 0.6709
0.5000 0.6709 0.8291
0.5000 0.8291 0.3291
0.5000 0.3291 0.1709
0.0000 0.0000 0.0000
0.0000 0.5000 0.5000
0.0000 0.3707 0.8707
0.0000 0.8707 0.6293
0.0000 0.6293 0.1293
0.0000 0.1293 0.3707
```

***

Record 5
First-principles (GGA-PBEsol) data for a geometry-optimized Ba2ScTc structure, as listed in Alexandria via LeMat-Bulk.

Summary:
ΔH_f (0 K)	0.373	eV per atom
SG	Pm
calculated total energy	-20.68	eV for the cell shown

Geometry as POSCAR:
```
Ba2ScTc
1.0
-2.0270 -2.7913 1.1495
1.5589 -2.2225 -2.6478
7.3781 -1.4825 5.5881
Ba Sc Tc
2 1 1
direct
0.8911 0.0000 0.9216
0.4736 0.5000 0.3222
0.0648 0.0000 0.5860
0.5705 0.5000 0.6701
```

***

Record 6
First-principles (GGA-PBEsol) data for a geometry-optimized CsErZnSe3 structure, as listed in Alexandria via LeMat-Bulk.

Summary:
SG	Cmcm
calculated total energy	-54.95	eV for the cell shown
energy relative to the elements, uncorrected	-1412	meV/atom

Geometry as POSCAR:
```
CsErZnSe3
1.0
4.0690 0.0000 0.0000
-2.0345 7.9080 0.0000
0.0000 0.0000 10.7238
Cs Zn Se Er
2 2 6 2
direct
0.2560 0.5120 0.7500
0.7440 0.4880 0.2500
0.5376 0.0751 0.7500
0.4624 0.9249 0.2500
0.6176 0.2352 0.9428
0.0571 0.1142 0.2500
0.6176 0.2352 0.5572
0.9429 0.8858 0.7500
0.3824 0.7648 0.0572
0.3824 0.7648 0.4428
0.0000 0.0000 0.0000
0.0000 0.0000 0.5000
```

***

Record 7
First-principles (GGA-PBEsol) data for a geometry-optimized Li3Cu structure, as listed in Alexandria via LeMat-Bulk.

Summary:
ΔH_f (0 K)	0.085	eV per atom
SG	Pnma
calculated total energy	-39.57	eV for the cell shown

Geometry as POSCAR:
```
Li3Cu
1.0
-4.4812 -1.8629 1.2155
2.8179 -6.1890 0.9036
1.3009 1.6651 7.3476
Cu Li
4 12
direct
0.5881 0.8862 0.7500
0.0881 0.6138 0.2500
0.9119 0.3862 0.7500
0.4119 0.1138 0.2500
0.1005 0.0283 0.7500
0.6005 0.4717 0.2500
0.3995 0.5283 0.7500
0.8995 0.9717 0.2500
0.6168 0.1827 0.9465
0.1168 0.3173 0.0535
0.8832 0.6827 0.5535
0.3832 0.8173 0.4465
0.3832 0.8173 0.0535
0.8832 0.6827 0.9465
0.1168 0.3173 0.4465
0.6168 0.1827 0.5535
```

***

Record 8
First-principles (GGA-PBEsol) data for a geometry-optimized ZnSbRh3 structure, as listed in Alexandria via LeMat-Bulk.

Summary:
SG	Pm-3m
calculated total energy	-26.70	eV for the cell shown
energy relative to the elements, uncorrected	770	meV/atom

Geometry as POSCAR:
```
ZnSbRh3
1.0
-1.5941 3.3760 -2.4239
-3.9838 -0.5015 1.9215
1.1843 2.8575 3.2010
Sb Zn Rh
1 1 3
direct
0.5000 0.5000 0.5000
0.0000 0.0000 0.0000
0.0000 0.5000 0.0000
0.0000 0.0000 0.5000
0.5000 0.0000 0.0000
```

***

Record 9
First-principles (GGA-PBEsol) data for a geometry-optimized TcWNF2 structure, as listed in Alexandria via LeMat-Bulk.

Summary:
SG	P4/mmm
calculated total energy	-34.70	eV for the cell shown
energy relative to the elements, uncorrected	551	meV/atom

Geometry as POSCAR:
```
TcWNF2
1.0
-3.4058 1.2865 -1.1433
-0.9483 -3.7487 -1.3934
-1.5929 -0.9595 3.6655
N Tc W F
1 1 1 2
direct
0.5000 0.0000 0.0000
0.0000 0.0000 0.0000
0.5000 0.5000 0.5000
0.0000 0.0000 0.5000
0.0000 0.5000 0.0000
```

***

Record 10
First-principles (GGA-PBEsol) data for a geometry-optimized MgIrBr2 structure, as listed in Alexandria via LeMat-Bulk.

Summary:
SG	P4mm
calculated total energy	-15.22	eV for the cell shown
energy relative to the elements, uncorrected	15	meV/atom

Geometry as POSCAR:
```
MgIrBr2
1.0
3.4552 0.0000 0.0000
0.0000 3.4552 0.0000
0.0000 0.0000 7.0769
Br Ir Mg
2 1 1
direct
0.0000 0.0000 0.9120
0.5000 0.5000 0.3189
0.0000 0.0000 0.5557
0.5000 0.5000 0.7133
```

***

Record 11
First-principles (GGA-PBEsol) data for a geometry-optimized CoNiAg structure, as listed in Alexandria via LeMat-Bulk.

Summary:
ΔH_f (0 K)	0.280	eV per atom
SG	P3m1
calculated total energy	-16.37	eV for the cell shown

Geometry as POSCAR:
```
CoNiAg
1.0
2.6179 0.0000 0.0000
-1.3089 2.2671 0.0000
0.0000 0.0000 6.3773
Ni Co Ag
1 1 1
direct
0.6667 0.3333 0.3543
0.3333 0.6667 0.6446
0.0000 0.0000 0.0010
```

***

Record 12
First-principles (GGA-PBEsol) data for a geometry-optimized BaLi2Co structure, as listed in Alexandria via LeMat-Bulk.

Summary:
ΔH_f (0 K)	0.565	eV per atom
SG	I-4m2
calculated total energy	-11.56	eV for the cell shown

Geometry as POSCAR:
```
BaLi2Co
1.0
-3.9582 -2.7293 -0.9888
4.5822 -2.1286 -0.2840
1.3513 -3.2121 3.4569
Ba Co Li
1 1 2
direct
0.5000 0.0000 0.5000
0.7500 0.5000 0.7500
0.0000 0.0000 0.0000
0.2500 0.5000 0.2500
```

***

How do the records compare in D(E_F)? In the order shown, they have 2.75 4.79 1.91 4.16 3.90 0.00 5.50 5.26 4.97 3.41 3.80 8.48 states/eV/cell.